(1)
Material: Mg2BeP2Rh5
Method: DFT, PBE
State: relaxed

```
Mg2BeP2Rh5
1.0
3.226 0.000 0.000
0.000 9.345 0.000
0.000 0.000 9.345
Rh P Mg Be
10 4 4 2
Direct
0.500 0.298 0.573 Rh
0.500 0.202 0.073 Rh
0.500 0.573 0.702 Rh
0.500 0.702 0.427 Rh
0.500 0.427 0.298 Rh
0.500 0.000 0.500 Rh
0.500 0.500 0.000 Rh
0.500 0.073 0.798 Rh
0.500 0.927 0.202 Rh
0.500 0.798 0.927 Rh
0.000 0.632 0.868 P
0.000 0.868 0.368 P
0.000 0.132 0.632 P
0.000 0.368 0.132 P
0.000 0.329 0.829 Mg
0.000 0.829 0.671 Mg
0.000 0.671 0.171 Mg
0.000 0.171 0.329 Mg
0.000 0.500 0.500 Be
0.000 0.000 0.000 Be
```

Summary:
DOS(E_F): 2.857 states/eV/f.u.
energy of formation: -650 meV per atom
space group: P4/mbm

=====

(2)
Material: TbNdHo2Er5
Method: DFT, PBE
State: relaxed

```
TbNdHo2Er5
1.0
-1.333 -0.899 5.336
-6.050 -6.186 -5.464
7.267 -7.581 0.538
Er Ho Nd Tb
10 4 2 2
Direct
0.018 0.036 0.026 Er
0.611 0.223 0.523 Er
0.982 0.964 0.526 Er
0.299 0.597 0.710 Er
0.478 0.957 0.736 Er
0.281 0.563 0.311 Er
0.701 0.403 0.210 Er
0.719 0.437 0.811 Er
0.522 0.043 0.236 Er
0.389 0.777 0.023 Er
0.889 0.779 0.235 Ho
0.113 0.226 0.319 Ho
0.887 0.774 0.819 Ho
0.111 0.221 0.735 Ho
0.583 0.167 0.952 Nd
0.417 0.833 0.452 Nd
0.800 0.599 0.512 Tb
0.200 0.401 0.012 Tb
```

Summary:
DOS(E_F): 14.062 states/eV/f.u.
energy of formation: 162 meV per atom
space group: Cmc2_1

=====

(3)
Material: Ba4Na3In
Method: DFT, PBE
State: relaxed

```
Ba4Na3In
1.0
-3.184 2.942 0.497
-2.804 -3.199 0.972
4.695 1.797 19.455
Ba In Na
4 1 3
Direct
0.000 0.000 0.100 Ba
0.000 0.000 0.367 Ba
0.000 0.000 0.900 Ba
0.000 0.000 0.633 Ba
0.500 0.500 0.000 In
0.500 0.500 0.765 Na
0.500 0.500 0.235 Na
0.500 0.500 0.500 Na
```

Summary:
DOS(E_F): 6.411 states/eV/f.u.
energy of formation: -117 meV per atom
space group: P4/mmm

=====

(4)
Material: ZrAsP2Cl
Method: DFT, PBE
State: relaxed

```
ZrAsP2Cl
1.0
-1.773 -4.068 1.654
1.423 -2.220 -3.934
4.063 -0.955 2.008
P Zr As Cl
2 1 1 1
Direct
0.000 0.500 0.000 P
0.500 0.000 0.000 P
0.500 0.500 0.500 Zr
0.000 0.000 0.000 As
0.000 0.000 0.500 Cl
```

Summary:
DOS(E_F): 4.405 states/eV/f.u.
ΔE_f (raw): 2.3 eV per formula unit
space group: P4/mmm

=====

(5)
Material: NaRhF2
Method: DFT, PBE
State: relaxed

```
NaRhF2
1.0
5.906 0.000 0.000
0.000 5.906 0.000
2.953 2.953 3.474
F Rh Na
4 2 2
Direct
0.136 0.625 0.250 F
0.875 0.864 0.750 F
0.614 0.125 0.250 F
0.375 0.386 0.750 F
0.750 0.250 0.500 Rh
0.000 0.000 0.000 Rh
0.250 0.750 0.500 Na
0.500 0.500 0.000 Na
```

Summary:
DOS(E_F): 1.249 states/eV/f.u.
ΔE_f (raw): -4.8 eV per formula unit
space group: I-42d

=====

(6)
Material: SmP12Os4
Method: DFT, PBE
State: relaxed

```
SmP12Os4
1.0
-6.152 3.221 -1.078
3.272 -0.920 -6.151
-1.124 -6.249 3.013
Os P Sm
4 12 1
Direct
0.000 0.000 0.500 Os
0.000 0.500 0.000 Os
0.500 0.000 0.000 Os
0.500 0.500 0.500 Os
0.500 0.857 0.643 P
0.143 0.643 0.786 P
0.643 0.786 0.143 P
0.857 0.643 0.500 P
0.500 0.143 0.357 P
0.786 0.143 0.643 P
0.143 0.357 0.500 P
0.643 0.500 0.857 P
0.357 0.214 0.857 P
0.357 0.500 0.143 P
0.214 0.857 0.357 P
0.857 0.357 0.214 P
0.000 0.000 0.000 Sm
```

Summary:
DOS(E_F): 5.044 states/eV/f.u.
energy of formation: -586 meV per atom
space group: Im-3

=====

(7)
Material: ThPaCu2O8
Method: DFT, PBE
State: relaxed

```
ThPaCu2O8
1.0
-0.796 5.222 2.935
-1.043 -4.805 3.513
5.749 -0.248 -1.844
Cu O Pa Th
2 8 1 1
Direct
0.500 0.500 0.000 Cu
0.750 0.250 0.500 Cu
0.879 0.704 0.175 O
0.296 0.121 0.825 O
0.945 0.255 0.310 O
0.945 0.634 0.690 O
0.296 0.471 0.175 O
0.366 0.055 0.310 O
0.529 0.704 0.825 O
0.745 0.055 0.690 O
0.000 0.000 0.000 Pa
0.250 0.750 0.500 Th
```

Summary:
DOS(E_F): 8.276 states/eV/f.u.
ΔE_f (raw): -23.8 eV per formula unit
space group: I-4m2

=====

(8)
Material: Pr12InCo5
Method: DFT, PBE
State: relaxed

```
Pr12InCo5
1.0
-4.586 -5.928 -4.358
1.638 -2.875 8.013
-4.452 7.411 0.642
Co Pr In
5 12 1
Direct
0.500 0.889 0.389 Co
0.618 0.618 0.000 Co
0.000 0.000 0.000 Co
0.382 0.382 0.000 Co
0.500 0.111 0.611 Co
0.693 0.316 0.009 Pr
0.190 0.991 0.802 Pr
0.810 0.612 0.802 Pr
0.190 0.388 0.198 Pr
0.513 0.814 0.699 Pr
0.115 0.814 0.301 Pr
0.810 0.009 0.198 Pr
0.693 0.684 0.377 Pr
0.307 0.684 0.991 Pr
0.487 0.186 0.301 Pr
0.307 0.316 0.623 Pr
0.885 0.186 0.699 Pr
0.000 0.500 0.500 In
```

Summary:
DOS(E_F): 15.946 states/eV/f.u.
energy of formation: -111 meV per atom
space group: Immm

=====

(9)
Material: TbDyTc
Method: DFT, PBE
State: relaxed

```
TbDyTc
1.0
-1.091 -3.123 -1.061
0.309 -1.209 3.242
-5.508 3.825 0.091
Dy Tb Tc
1 1 1
Direct
0.297 0.297 0.593 Dy
0.036 0.036 0.072 Tb
0.667 0.667 0.334 Tc
```

Summary:
DOS(E_F): 3.886 states/eV/f.u.
energy of formation: -35 meV per atom
space group: I4mm

=====

(10)
Material: BeOsBr2
Method: DFT, PBE
State: relaxed

```
BeOsBr2
1.0
-5.418 3.913 8.400
-7.629 1.956 7.294
-5.396 0.874 9.239
Br Os Be
2 1 1
Direct
0.038 0.038 0.038 Br
0.462 0.462 0.462 Br
0.250 0.250 0.250 Os
0.750 0.750 0.750 Be
```

Summary:
DOS(E_F): 1.255 states/eV/f.u.
ΔE_f (raw): 3.3 eV per formula unit
space group: R-3m

=====

(11)
Material: YPb4
Method: DFT, PBE
State: relaxed

```
YPb4
1.0
-2.237 2.237 8.205
2.237 -2.237 8.205
2.237 2.237 -8.205
Pb Y
4 1
Direct
0.592 0.592 0.000 Pb
0.750 0.250 0.500 Pb
0.250 0.750 0.500 Pb
0.408 0.408 0.000 Pb
0.000 0.000 0.000 Y
```

Summary:
DOS(E_F): 3.300 states/eV/f.u.
energy of formation: 8 meV per atom
space group: I4/mmm

=====

(12)
Material: SrPb2Cl8
Method: DFT, PBE
State: relaxed

```
SrPb2Cl8
1.0
-4.068 -6.522 -1.849
2.414 0.707 -7.808
4.514 -4.322 5.314
Cl Pb Sr
8 2 1
Direct
0.746 0.848 0.152 Cl
0.254 0.696 0.848 Cl
0.867 0.333 0.667 Cl
0.746 0.304 0.152 Cl
0.254 0.152 0.304 Cl
0.133 0.667 0.333 Cl
0.254 0.152 0.848 Cl
0.746 0.848 0.696 Cl
0.817 0.667 0.333 Pb
0.183 0.333 0.667 Pb
0.500 0.000 0.000 Sr
```

Summary:
DOS(E_F): 8.624 states/eV/f.u.
ΔE_f (raw): -12.3 eV per formula unit
space group: P-3m1